# Ce6CoPt3 (PBE-GGA, optimized geometry)
# D(E_F): 59.7 states/eV/cell
# theoretical density: 9439 kg/m3
# M_tot: 10.265 Bohr magnetons per cell
# uncorrected energy: -134.1 eV per cell
# energy relative to the elements: -0.6222 eV per atom
data_Ce6CoPt3
_cell_length_a 6.608
_cell_length_b 7.534
_cell_length_c 12.318
_cell_angle_alpha 90.00
_cell_angle_beta 121.59
_cell_angle_gamma 90.00
_space_group_name_H-M_alt 'P 1 21/c 1'
_space_group_IT_number 14
loop_
_space_group_symop_operation_xyz
'x,y,z'
'-x,-y,-z'
'-x,y+1/2,-z+1/2'
'x,-y+1/2,z+1/2'
loop_
_atom_site_label
_atom_site_fract_x
_atom_site_fract_y
_atom_site_fract_z
Ce1 0.076 0.188 0.424
Ce2 0.252 0.667 0.428
Ce3 0.400 0.053 0.243
Co1 0.000 0.000 0.000
Pt1 0.187 0.114 0.745
Pt2 0.500 0.000 0.500